Record 1
The following is a DFT calculation (PBE-GGA) of a geometry-optimized CsErAg structure.

DFT total energy (eV/atom): -1.917

Unit cell a=5.477 b=5.477 c=5.477 alpha=60.00 beta=60.00 gamma=60.00
Fractional positions:
Cs 0.000 0.000 0.000
Er 0.750 0.750 0.750
Ag 0.500 0.500 0.500

***

Record 2
The following is a DFT calculation (PBE-GGA) of a geometry-optimized BeCuSiOs structure.

E above lowest polymorph (eV/f.u.): 0.00

Unit cell a=4.035 b=4.035 c=4.035 alpha=60.00 beta=60.00 gamma=60.00
Fractional positions:
Be 0.000 0.000 0.000
Cu 0.750 0.750 0.750
Si 0.500 0.500 0.500
Os 0.250 0.250 0.250

***

Record 3
The following is a DFT calculation (PBE-GGA) of a geometry-optimized Ta2Nb structure.

ΔE_f (eV/atom): 0.14
E above lowest polymorph (eV/f.u.): 0.43

Unit cell a=5.471 b=5.471 c=17.601 alpha=90.00 beta=90.00 gamma=120.00
Fractional positions:
Ta 0.000 0.500 0.000
Ta 0.000 0.500 0.500
Ta 0.163 0.326 0.250
Ta 0.163 0.837 0.250
Ta 0.326 0.163 0.750
Ta 0.333 0.667 0.125
Ta 0.333 0.667 0.375
Ta 0.500 0.000 0.000
Ta 0.500 0.000 0.500
Ta 0.500 0.500 0.000
Ta 0.500 0.500 0.500
Ta 0.667 0.333 0.625
Ta 0.667 0.333 0.875
Ta 0.674 0.837 0.250
Ta 0.837 0.163 0.750
Ta 0.837 0.674 0.750
Nb 0.000 0.000 0.094
Nb 0.000 0.000 0.406
Nb 0.000 0.000 0.594
Nb 0.000 0.000 0.906
Nb 0.333 0.667 0.656
Nb 0.333 0.667 0.844
Nb 0.667 0.333 0.156
Nb 0.667 0.333 0.344

***

Record 4
The following is a DFT calculation (PBE-GGA) of a geometry-optimized Gd2DySc3Te2Os structure.

DFT total energy (eV/atom): -6.379

Unit cell a=4.035 b=7.956 c=7.956 alpha=120.14 beta=90.00 gamma=90.00
Fractional positions:
Gd 0.000 0.196 0.804
Gd 0.000 0.804 0.196
Dy 0.000 0.416 0.416
Sc 0.500 0.034 0.034
Sc 0.500 0.575 0.804
Sc 0.500 0.804 0.575
Te 0.500 0.139 0.471
Te 0.500 0.471 0.139
Os 0.000 0.801 0.801

***

Record 5
The following is a DFT calculation (PBE-GGA) of a geometry-optimized LiFe6Ge6 structure.

DFT total energy (eV/atom): -6.304

Unit cell a=8.680 b=8.680 c=8.000 alpha=90.00 beta=90.00 gamma=120.00
Fractional positions:
Li 0.000 0.000 0.000
Li 0.333 0.667 0.500
Li 0.667 0.333 0.500
Fe 0.000 0.500 0.246
Fe 0.000 0.500 0.754
Fe 0.167 0.334 0.252
Fe 0.167 0.334 0.748
Fe 0.167 0.833 0.252
Fe 0.167 0.833 0.748
Fe 0.334 0.167 0.252
Fe 0.334 0.167 0.748
Fe 0.500 0.000 0.246
Fe 0.500 0.000 0.754
Fe 0.500 0.500 0.246
Fe 0.500 0.500 0.754
Fe 0.666 0.833 0.252
Fe 0.666 0.833 0.748
Fe 0.833 0.167 0.252
Fe 0.833 0.167 0.748
Fe 0.833 0.666 0.252
Fe 0.833 0.666 0.748
Ge 0.000 0.000 0.339
Ge 0.000 0.000 0.661
Ge 0.000 0.328 0.000
Ge 0.000 0.339 0.500
Ge 0.000 0.661 0.500
Ge 0.000 0.672 0.000
Ge 0.328 0.000 0.000
Ge 0.328 0.328 0.000
Ge 0.333 0.667 0.162
Ge 0.333 0.667 0.838
Ge 0.339 0.000 0.500
Ge 0.339 0.339 0.500
Ge 0.661 0.000 0.500
Ge 0.661 0.661 0.500
Ge 0.667 0.333 0.162
Ge 0.667 0.333 0.838
Ge 0.672 0.000 0.000
Ge 0.672 0.672 0.000

***

Record 6
The following is a DFT calculation (PBE-GGA) of a geometry-optimized PmNdGa structure.

E above lowest polymorph (eV/f.u.): 0.00

Unit cell a=5.086 b=5.086 c=5.086 alpha=60.00 beta=60.00 gamma=60.00
Fractional positions:
Pm 0.000 0.000 0.000
Nd 0.500 0.500 0.500
Ga 0.750 0.750 0.750

***

Record 7
The following is a DFT calculation (PBE-GGA) of a geometry-optimized YEr2Co6Ni3 structure.

ΔE_f (eV/atom): -0.27

Unit cell a=8.659 b=8.659 c=8.659 alpha=32.74 beta=32.74 gamma=32.74
Fractional positions:
Y 0.000 0.000 0.000
Er 0.139 0.139 0.139
Er 0.861 0.861 0.861
Co 0.080 0.583 0.583
Co 0.417 0.417 0.920
Co 0.417 0.920 0.417
Co 0.583 0.080 0.583
Co 0.583 0.583 0.080
Co 0.920 0.417 0.417
Ni 0.334 0.334 0.334
Ni 0.500 0.500 0.500
Ni 0.666 0.666 0.666

***

Record 8
The following is a DFT calculation (PBE-GGA) of a geometry-optimized NdScSn2 structure.

DFT total energy (eV/atom): -4.664

Unit cell a=3.275 b=6.798 c=6.798 alpha=53.92 beta=90.00 gamma=90.00
Fractional positions:
Nd 0.000 0.000 0.000
Sc 0.000 0.274 0.274
Sn 0.000 0.507 0.507
Sn 0.000 0.741 0.741

***

Record 9
The following is a DFT calculation (PBE-GGA) of a geometry-optimized ScAl6Cu6 structure.

DFT total energy (eV/atom): -4.270

Unit cell a=6.537 b=6.537 c=6.537 alpha=134.63 beta=99.22 gamma=97.89
Fractional positions:
Sc 0.000 0.000 0.000
Al 0.191 0.691 0.500
Al 0.344 0.000 0.344
Al 0.345 0.345 0.000
Al 0.655 0.655 0.000
Al 0.656 0.000 0.656
Al 0.809 0.309 0.500
Cu 0.000 0.000 0.500
Cu 0.000 0.500 0.000
Cu 0.233 0.500 0.733
Cu 0.500 0.000 0.000
Cu 0.500 0.500 0.500
Cu 0.767 0.500 0.267

***

Record 10
The following is a DFT calculation (PBE-GGA) of a geometry-optimized Cs2Cu2Pd5 structure.

DFT total energy (eV/atom): -3.296

Unit cell a=17.316 b=17.316 c=17.316 alpha=12.87 beta=12.87 gamma=12.87
Fractional positions:
Cs 0.000 0.000 0.000
Cs 0.188 0.188 0.188
Cu 0.424 0.424 0.424
Cu 0.575 0.575 0.575
Pd 0.112 0.112 0.112
Pd 0.262 0.262 0.262
Pd 0.377 0.377 0.377
Pd 0.475 0.475 0.475
Pd 0.624 0.624 0.624

***

Record 11
The following is a DFT calculation (PBE-GGA) of a geometry-optimized LuTlInSe3 structure.

DFT total energy (eV/atom): -4.288

Unit cell a=7.762 b=7.762 c=11.246 alpha=90.00 beta=90.00 gamma=149.66
Fractional positions:
Lu 0.000 0.000 0.000
Lu 0.000 0.000 0.500
Tl 0.292 0.708 0.750
Tl 0.708 0.292 0.250
In 0.381 0.619 0.250
In 0.619 0.381 0.750
Se 0.008 0.992 0.250
Se 0.370 0.630 0.002
Se 0.370 0.630 0.498
Se 0.630 0.370 0.502
Se 0.630 0.370 0.998
Se 0.992 0.008 0.750

***

Record 12
The following is a DFT calculation (PBE-GGA) of a geometry-optimized AlCd4GaPd2 structure.

DFT total energy (eV/atom): -2.921

Unit cell a=4.444 b=4.444 c=8.837 alpha=90.00 beta=90.00 gamma=120.00
Fractional positions:
Al 0.000 0.000 0.000
Cd 0.333 0.667 0.327
Cd 0.333 0.667 0.673
Cd 0.667 0.333 0.172
Cd 0.667 0.333 0.828
Ga 0.000 0.000 0.500
Pd 0.333 0.667 0.000
Pd 0.667 0.333 0.500

***

Record 13
The following is a DFT calculation (PBE-GGA) of a geometry-optimized KTbZn structure.

E above lowest polymorph (eV/f.u.): 0.00

Unit cell a=5.254 b=5.254 c=5.254 alpha=60.00 beta=60.00 gamma=60.00
Fractional positions:
K 0.000 0.000 0.000
Tb 0.500 0.500 0.500
Zn 0.250 0.250 0.250

***

Record 14
The following is a DFT calculation (PBE-GGA) of a geometry-optimized DyAgSeS structure.

DFT total energy (eV/atom): -5.036

Unit cell a=4.216 b=6.656 c=6.663 alpha=90.00 beta=91.18 gamma=90.00
Fractional positions:
Dy 0.213 0.000 0.265
Dy 0.787 0.500 0.735
Ag 0.001 0.494 0.252
Ag 0.999 0.994 0.748
Se 0.287 0.296 0.952
Se 0.713 0.796 0.048
S 0.268 0.699 0.549
S 0.732 0.199 0.451

***

Record 15
The following is a DFT calculation (PBE-GGA) of a geometry-optimized Cu2GePb structure.

DFT total energy (eV/atom): -3.705

Unit cell a=6.634 b=6.634 c=6.634 alpha=90.00 beta=90.00 gamma=90.00
Fractional positions:
Cu 0.215 0.215 0.215
Cu 0.215 0.215 0.785
Cu 0.215 0.785 0.215
Cu 0.215 0.785 0.785
Cu 0.785 0.215 0.215
Cu 0.785 0.215 0.785
Cu 0.785 0.785 0.215
Cu 0.785 0.785 0.785
Ge 0.000 0.000 0.000
Ge 0.000 0.000 0.500
Ge 0.000 0.500 0.000
Ge 0.500 0.000 0.000
Pb 0.000 0.500 0.500
Pb 0.500 0.000 0.500
Pb 0.500 0.500 0.000
Pb 0.500 0.500 0.500

***

Record 16
The following is a DFT calculation (PBE-GGA) of a geometry-optimized TbErCl6 structure.

DFT total energy (eV/atom): -4.811

Unit cell a=6.850 b=6.850 c=6.445 alpha=100.25 beta=100.25 gamma=120.14
Fractional positions:
Tb 0.000 0.000 0.000
Er 0.669 0.331 0.000
Cl 0.056 0.391 0.245
Cl 0.259 0.230 0.758
Cl 0.419 0.105 0.241
Cl 0.609 0.944 0.755
Cl 0.770 0.741 0.242
Cl 0.895 0.581 0.759

***

Record 17
The following is a DFT calculation (PBE-GGA) of a geometry-optimized KNdTh structure.

E above lowest polymorph (eV/f.u.): 0.00

Unit cell a=5.688 b=5.688 c=5.688 alpha=60.00 beta=60.00 gamma=60.00
Fractional positions:
K 0.000 0.000 0.000
Nd 0.750 0.750 0.750
Th 0.500 0.500 0.500

***

Record 18
The following is a DFT calculation (PBE-GGA) of a geometry-optimized NdTl2 structure.

DFT total energy (eV/atom): -3.321

Unit cell a=6.201 b=6.201 c=6.201 alpha=60.00 beta=60.00 gamma=60.00
Fractional positions:
Nd 0.125 0.125 0.125
Nd 0.875 0.875 0.875
Tl 0.000 0.500 0.500
Tl 0.500 0.000 0.500
Tl 0.500 0.500 0.000
Tl 0.500 0.500 0.500

***

Record 19
The following is a DFT calculation (PBE-GGA) of a geometry-optimized ZrNiB4 structure.

E above lowest polymorph (eV/f.u.): 0.00

Unit cell a=5.795 b=11.246 c=3.295 alpha=90.00 beta=90.00 gamma=90.00
Fractional positions:
Zr 0.125 0.151 0.000
Zr 0.375 0.651 0.000
Zr 0.625 0.349 0.000
Zr 0.875 0.849 0.000
Ni 0.133 0.411 0.000
Ni 0.367 0.911 0.000
Ni 0.633 0.089 0.000
Ni 0.867 0.589 0.000
B 0.027 0.694 0.500
B 0.117 0.548 0.500
B 0.133 0.968 0.500
B 0.212 0.813 0.500
B 0.288 0.313 0.500
B 0.367 0.468 0.500
B 0.383 0.048 0.500
B 0.473 0.194 0.500
B 0.527 0.806 0.500
B 0.617 0.952 0.500
B 0.633 0.532 0.500
B 0.712 0.687 0.500
B 0.788 0.187 0.500
B 0.867 0.032 0.500
B 0.883 0.452 0.500
B 0.973 0.306 0.500

***

Record 20
The following is a DFT calculation (PBE-GGA) of a geometry-optimized TlInCu2Te4 structure.

DFT total energy (eV/atom): -3.342

Unit cell a=7.753 b=7.753 c=7.753 alpha=131.99 beta=131.99 gamma=70.24
Fractional positions:
Tl 0.000 0.000 0.000
In 0.750 0.250 0.500
Cu 0.250 0.750 0.500
Cu 0.500 0.500 0.000
Te 0.164 0.617 0.036
Te 0.383 0.419 0.547
Te 0.581 0.128 0.964
Te 0.872 0.836 0.453